The following is a DFT calculation (GGA-PBE) of an optimized crystal structure of Sm4Y7Th.

Cell: 6.899 8.812 9.066 Å, 85.09 95.72 47.92°
Element x y z (fractional)
Y  0.267  0.486  0.046
Y  0.980  0.322  0.644
Y  0.020  0.678  0.356
Y  0.293  0.815  0.620
Y  0.500  0.000  0.000
Y  0.733  0.514  0.954
Y  0.707  0.185  0.380
Th  0.000  0.000  0.000
Sm  0.550  0.639  0.287
Sm  0.450  0.361  0.713
Sm  0.782  0.838  0.691
Sm  0.218  0.162  0.309

Properties
- size of the total moment (μB per cell) = 0.00
- distance to the lowest polymorph of the same formula (eV per atom) = 0.0000
- density of states at the Fermi level (states/eV/cell) = 20.564
- energy of formation from the pure elements (eV/f.u.) = 1.1
- theoretical density (g/cm³) = 6.07

The following is a DFT calculation (GGA-PBE) of an optimized crystal structure of SmY2Th.

Cell: 3.584 3.584 10.185 Å, 90.00 90.00 90.00°
Element x y z (fractional)
Sm  0.500  0.500  0.500
Y  0.000  0.000  0.243
Y  0.000  0.000  0.757
Th  0.500  0.500  0.000

Properties
- size of the total moment (μB per cell) = 0.00
- distance to the lowest polymorph of the same formula (eV per atom) = 0.0115
- density of states at the Fermi level (states/eV/cell) = 5.158
- energy of formation from the pure elements (eV/f.u.) = 0.1
- theoretical density (g/cm³) = 7.11

The following is a DFT calculation (GGA-PBE) of an optimized crystal structure of Sm6Y2Th.

Cell: 3.617 3.617 26.846 Å, 90.00 90.00 120.00°
Element x y z (fractional)
Sm  0.333  0.667  0.220
Sm  0.333  0.667  0.566
Sm  0.667  0.333  0.109
Sm  0.333  0.667  0.434
Sm  0.333  0.667  0.780
Sm  0.667  0.333  0.891
Y  0.667  0.333  0.671
Y  0.667  0.333  0.329
Th  0.333  0.667  0.000

Properties
- size of the total moment (μB per cell) = 0.00
- density of states at the Fermi level (states/eV/cell) = 15.841
- energy of formation from the pure elements (eV/f.u.) = 0.5
- theoretical density (g/cm³) = 7.16

The following is a DFT calculation (GGA-PBE) of an optimized crystal structure of Sm4Y5Th.

Cell: 6.359 7.964 7.964 Å, 80.83 66.47 66.47°
Element x y z (fractional)
Sm  0.492  0.610  0.301
Sm  0.403  0.390  0.699
Sm  0.102  0.301  0.390
Sm  0.793  0.699  0.610
Y  0.180  0.923  0.622
Y  0.689  0.000  0.000
Y  0.102  0.622  0.077
Y  0.801  0.378  0.923
Y  0.724  0.077  0.378
Th  0.224  0.000  0.000

Properties
- size of the total moment (μB per cell) = 0.00
- distance to the lowest polymorph of the same formula (eV per atom) = 0.1286
- density of states at the Fermi level (states/eV/cell) = 15.255
- energy of formation from the pure elements (eV/f.u.) = 3.2
- theoretical density (g/cm³) = 6.26

Q: Which formula does entry 3 have?
A: Sm6Y2Th